First-principles (PBE) data for ScBe2Mo after structural relaxation, as listed in Alexandria.

Output
Magnetic moment: 0.00 μB per atom
Crystal system: orthorhombic
ΔE to the lowest computed polymorph: 59 meV per atom
Space group: No. 38

The structure in POSCAR format:
```
ScBe2Mo
1.0
-3.131 -1.041 0.830
0.430 -2.826 -1.925
1.962 -3.692 2.771
Be Sc Mo
2 1 1
Cartesian
0.125 -0.587 -0.266 Be
-1.001 -1.683 1.087 Be
0.354 -5.714 1.141 Sc
0.979 -2.834 0.137 Mo
```